Entry 1:
Co2OsN after structural relaxation. Source: Alexandria, functional GGA-PBE.

The value obtained for the raw formation energy is 0.565 eV per atom. The calculation puts the total energy at -94.525 eV for the cell shown. The density comes out at 11.958 g/cm³.

Cell: 2.6828 2.6828 21.5278 Å, 90.00 90.00 120.00°
Space group R-3m (No. 166, hexagonal axes)
Inequivalent atoms, fractional coordinates:
Co 0.0000 0.0000 0.1152 [6 per cell]
Os 0.0000 0.0000 0.0000 [3 per cell]
N 0.0000 0.0000 0.5000 [3 per cell]

***

Entry 2:
Co2OsPdN after structural relaxation. Source: Alexandria, functional GGA-PBE.

The value obtained for the raw formation energy is 0.229 eV per atom. The calculation puts the total energy at -37.815 eV for the cell shown. The density comes out at 11.999 g/cm³.

Cell: 3.892 3.892 3.916 Å, 90.00 90.00 90.00°
Space group P4/mmm (No. 123)
Inequivalent atoms, fractional coordinates:
Co 0.000 0.500 0.000 [2 per cell]
Os 0.000 0.000 0.500 [1 per cell]
Pd 0.500 0.500 0.500 [1 per cell]
N 0.000 0.000 0.000 [1 per cell]

***

Entry 3:
CoOs2RhN after structural relaxation. Source: Alexandria, functional GGA-PBE.

The value obtained for the raw formation energy is 2.858 eV per atom. The calculation puts the total energy at -30.952 eV for the cell shown. The density comes out at 10.843 g/cm³.

Cell: 4.339 4.339 4.525 Å, 90.00 90.00 90.00°
Space group P4/mmm (No. 123)
Inequivalent atoms, fractional coordinates:
Co 0.000 0.000 0.000 [1 per cell]
Os 0.000 0.500 0.000 [2 per cell]
Rh 0.000 0.000 0.500 [1 per cell]
N 0.500 0.500 0.500 [1 per cell]